TlCu2Os (PBE, relaxed); ΔH_f (0 K) = 0.616 eV per atom; energy above the lowest structure with this stoichiometry = 34.1 meV per atom; uncorrected energy = -4.8315 eV per atom; size of the total moment = 0.00 μB per formula unit; symmetry = P4mm (99)
1.0
3.005 0.000 0.000
0.000 3.007 0.000
0.000 0.000 6.861
Cu Tl Os
2 1 1
Cartesian
0.000 0.000 0.327 Cu
1.503 1.503 1.661 Cu
1.503 1.503 5.189 Tl
0.000 0.000 3.115 Os

---

Tl2CuOs (PBE, relaxed); ΔH_f (0 K) = 0.865 eV per atom; energy above the lowest structure with this stoichiometry = 197.7 meV per atom; uncorrected energy = -4.1492 eV per atom; size of the total moment = 0.00 μB per formula unit; symmetry = Cmmm (65)
1.0
-1.331 2.598 -1.183
-1.718 -2.595 0.482
-1.935 2.844 8.425
Tl Cu Os
2 1 1
Cartesian
-0.006 0.009 0.028 Tl
-0.961 1.413 4.185 Tl
-2.008 0.712 1.756 Cu
-2.976 2.135 5.969 Os